[1]
A relaxed YGeBi2 crystal, computed with PBE-GGA.

Cell lengths 4.839, 4.839, 4.665 Å; angles 90.00, 90.00, 90.00 degrees
Positions (direct):
Y  0.000  0.000  0.000
Ge  0.500  0.500  0.000
Bi  0.000  0.500  0.500
Bi  0.500  0.000  0.500

energy of formation	-1.13	eV per formula unit
space-group type	P4/mmm

***

[2]
A relaxed PrGdIn crystal, computed with PBE-GGA.

Cell lengths 3.995, 3.995, 11.573 Å; angles 90.00, 90.00, 90.00 degrees
Positions (direct):
Pr  0.000  0.000  0.000
Pr  0.500  0.500  0.500
Gd  0.000  0.000  0.307
Gd  0.500  0.500  0.807
In  0.000  0.000  0.662
In  0.500  0.500  0.162

relative energy among the computed polymorphs	0.0	meV per atom
energy of formation	-0.92	eV per formula unit
space-group type	I4mm

***

[3]
A relaxed CsCeF3 crystal, computed with PBE-GGA.

Cell lengths 7.040, 7.040, 6.449 Å; angles 90.01, 90.01, 59.91 degrees
Positions (direct):
Cs  0.167  0.167  0.257
Cs  0.833  0.833  0.743
Ce  0.500  0.500  0.000
Ce  0.500  0.500  0.500
F  0.205  0.647  0.251
F  0.352  0.352  0.749
F  0.353  0.795  0.749
F  0.647  0.205  0.251
F  0.648  0.648  0.251
F  0.795  0.353  0.749

space-group type	C2/m
formation energy from raw total energies	-14.82	eV/f.u.

***

[4]
A relaxed Li2Pm2Cd3 crystal, computed with PBE-GGA.

Cell lengths 4.056, 23.871, 3.461 Å; angles 90.00, 90.00, 90.00 degrees
Positions (direct):
Li  0.000  0.217  0.000
Li  0.000  0.783  0.000
Li  0.500  0.283  0.000
Li  0.500  0.717  0.000
Pm  0.000  0.082  0.000
Pm  0.000  0.918  0.000
Pm  0.500  0.418  0.000
Pm  0.500  0.582  0.000
Cd  0.000  0.332  0.500
Cd  0.000  0.500  0.500
Cd  0.000  0.668  0.500
Cd  0.500  0.000  0.500
Cd  0.500  0.168  0.500
Cd  0.500  0.832  0.500

energy of formation	-1.53	eV per formula unit
space-group type	Cmmm

***

[5]
A relaxed PuBeCd2O6 crystal, computed with PBE-GGA.

Cell lengths 6.141, 6.192, 9.038 Å; angles 90.00, 127.37, 90.00 degrees
Positions (direct):
Pu  0.000  0.000  0.000
Pu  0.000  0.500  0.500
Be  0.500  0.000  0.500
Be  0.500  0.500  0.000
Cd  0.303  0.050  0.751
Cd  0.303  0.450  0.251
Cd  0.697  0.550  0.749
Cd  0.697  0.950  0.249
O  0.064  0.202  0.458
O  0.064  0.298  0.958
O  0.251  0.613  0.445
O  0.251  0.887  0.945
O  0.386  0.048  0.305
O  0.386  0.452  0.805
O  0.614  0.548  0.195
O  0.614  0.952  0.695
O  0.749  0.113  0.055
O  0.749  0.387  0.555
O  0.936  0.702  0.042
O  0.936  0.798  0.542

space-group type	P2_1/c
formation energy from raw total energies	-17.85	eV/f.u.

***

[6]
A relaxed BaLa2Rh crystal, computed with PBE-GGA.

Cell lengths 3.722, 4.491, 17.627 Å; angles 90.00, 90.00, 90.00 degrees
Positions (direct):
Ba  0.000  0.000  0.000
Ba  0.500  0.500  0.500
La  0.000  0.000  0.324
La  0.000  0.500  0.172
La  0.500  0.000  0.672
La  0.500  0.500  0.824
Rh  0.000  0.500  0.694
Rh  0.500  0.000  0.194

relative energy among the computed polymorphs	207.3	meV per atom
energy of formation	-0.83	eV per formula unit
space-group type	Imm2

***

[7]
A relaxed MgNpInSn crystal, computed with PBE-GGA.

Cell lengths 7.363, 7.363, 7.363 Å; angles 90.00, 90.00, 90.00 degrees
Positions (direct):
Mg  0.000  0.000  0.000
Mg  0.000  0.500  0.500
Mg  0.500  0.000  0.500
Mg  0.500  0.500  0.000
Np  0.000  0.000  0.500
Np  0.000  0.500  0.000
Np  0.500  0.000  0.000
Np  0.500  0.500  0.500
In  0.250  0.250  0.250
In  0.250  0.750  0.750
In  0.750  0.250  0.750
In  0.750  0.750  0.250
Sn  0.250  0.250  0.750
Sn  0.250  0.750  0.250
Sn  0.750  0.250  0.250
Sn  0.750  0.750  0.750

relative energy among the computed polymorphs	117.7	meV per atom
energy of formation	0.26	eV per formula unit
space-group type	F-43m

***

[8]
A relaxed Sm2GaGe2Rh5 crystal, computed with PBE-GGA.

Cell lengths 9.872, 9.872, 3.561 Å; angles 90.00, 90.00, 90.00 degrees
Positions (direct):
Sm  0.174  0.326  0.000
Sm  0.326  0.826  0.000
Sm  0.674  0.174  0.000
Sm  0.826  0.674  0.000
Ga  0.000  0.000  0.000
Ga  0.500  0.500  0.000
Ge  0.125  0.625  0.000
Ge  0.375  0.125  0.000
Ge  0.625  0.875  0.000
Ge  0.875  0.375  0.000
Rh  0.000  0.500  0.500
Rh  0.065  0.793  0.500
Rh  0.207  0.065  0.500
Rh  0.293  0.565  0.500
Rh  0.435  0.293  0.500
Rh  0.500  0.000  0.500
Rh  0.565  0.707  0.500
Rh  0.707  0.435  0.500
Rh  0.793  0.935  0.500
Rh  0.935  0.207  0.500

energy of formation	-7.56	eV per formula unit
space-group type	P4/mbm

***

[9]
A relaxed La2PtBr crystal, computed with PBE-GGA.

Cell lengths 4.532, 3.958, 12.154 Å; angles 90.00, 90.00, 90.00 degrees
Positions (direct):
La  0.000  0.000  0.000
La  0.000  0.500  0.500
La  0.500  0.000  0.249
La  0.500  0.500  0.749
Pt  0.000  0.000  0.745
Pt  0.000  0.500  0.245
Br  0.500  0.000  0.506
Br  0.500  0.500  0.006

relative energy among the computed polymorphs	219.2	meV per atom
space-group type	Amm2
formation energy from raw total energies	-4.52	eV/f.u.

***

[10]
A relaxed K2RbCdGe crystal, computed with PBE-GGA.

Cell lengths 6.739, 6.739, 5.276 Å; angles 90.00, 90.00, 90.00 degrees
Positions (direct):
K  0.000  0.500  0.000
K  0.500  0.000  0.000
Rb  0.000  0.000  0.500
Cd  0.500  0.500  0.500
Ge  0.500  0.500  0.000

energy of formation	0.27	eV per formula unit
space-group type	P4/mmm

***

[11]
A relaxed Er4B2Br5 crystal, computed with PBE-GGA.

Cell lengths 11.239, 11.239, 11.239 Å; angles 160.42, 138.83, 45.98 degrees
Positions (direct):
Er  0.148  0.148  0.000
Er  0.199  0.500  0.699
Er  0.801  0.500  0.301
Er  0.852  0.852  0.000
B  0.038  0.038  0.000
B  0.962  0.962  0.000
Br  0.097  0.339  0.758
Br  0.420  0.661  0.758
Br  0.500  0.000  0.500
Br  0.580  0.339  0.242
Br  0.903  0.661  0.242

space-group type	Immm
formation energy from raw total energies	-13.27	eV/f.u.

***

[12]
A relaxed VTe2PI crystal, computed with PBE-GGA.

Cell lengths 5.282, 5.282, 5.213 Å; angles 90.00, 90.00, 90.00 degrees
Positions (direct):
V  0.000  0.000  0.000
Te  0.000  0.500  0.500
Te  0.500  0.000  0.500
P  0.500  0.500  0.500
I  0.500  0.500  0.000

relative energy among the computed polymorphs	354.2	meV per atom
space-group type	P4/mmm
formation energy from raw total energies	5.01	eV/f.u.

***

[13]
A relaxed Ta2BeCo crystal, computed with PBE-GGA.

Cell lengths 2.814, 2.814, 6.936 Å; angles 90.00, 90.00, 90.00 degrees
Positions (direct):
Ta  0.000  0.000  0.000
Ta  0.500  0.500  0.340
Be  0.000  0.000  0.598
Co  0.500  0.500  0.750

energy of formation	-0.40	eV per formula unit
space-group type	P4mm

***

[14]
A relaxed Pm7Nd3Ho2 crystal, computed with PBE-GGA.

Cell lengths 11.982, 11.982, 11.982 Å; angles 32.10, 32.10, 32.10 degrees
Positions (direct):
Pm  0.000  0.000  0.000
Pm  0.086  0.086  0.580
Pm  0.086  0.580  0.086
Pm  0.420  0.914  0.914
Pm  0.580  0.086  0.086
Pm  0.914  0.420  0.914
Pm  0.914  0.914  0.420
Nd  0.347  0.347  0.347
Nd  0.500  0.500  0.500
Nd  0.653  0.653  0.653
Ho  0.166  0.166  0.166
Ho  0.834  0.834  0.834

relative energy among the computed polymorphs	191.6	meV per atom
energy of formation	3.34	eV per formula unit
space-group type	R-3m

***

[15]
A relaxed CeTi2Nb crystal, computed with PBE-GGA.

Cell lengths 4.799, 4.799, 3.354 Å; angles 90.00, 90.00, 90.00 degrees
Positions (direct):
Ce  0.000  0.000  0.000
Ti  0.000  0.500  0.500
Ti  0.500  0.000  0.500
Nb  0.500  0.500  0.000

relative energy among the computed polymorphs	114.3	meV per atom
energy of formation	0.92	eV per formula unit
space-group type	P4/mmm

***

[16]
A relaxed Rb8NbS6 crystal, computed with PBE-GGA.

Cell lengths 8.995, 9.386, 14.312 Å; angles 90.00, 90.00, 90.00 degrees
Positions (direct):
Rb  0.000  0.120  0.000
Rb  0.000  0.164  0.436
Rb  0.197  0.608  0.124
Rb  0.222  0.911  0.747
Rb  0.234  0.546  0.853
Rb  0.266  0.454  0.353
Rb  0.278  0.089  0.247
Rb  0.303  0.392  0.624
Rb  0.500  0.836  0.936
Rb  0.500  0.880  0.500
Rb  0.697  0.392  0.624
Rb  0.722  0.089  0.247
Rb  0.734  0.454  0.353
Rb  0.766  0.546  0.853
Rb  0.778  0.911  0.747
Rb  0.803  0.608  0.124
Nb  0.000  0.746  0.449
Nb  0.500  0.254  0.949
S  0.000  0.316  0.215
S  0.000  0.508  0.510
S  0.000  0.766  0.949
S  0.000  0.905  0.574
S  0.209  0.789  0.354
S  0.291  0.211  0.854
S  0.500  0.095  0.074
S  0.500  0.234  0.449
S  0.500  0.492  0.010
S  0.500  0.684  0.715
S  0.709  0.211  0.854
S  0.791  0.789  0.354

space-group type	Pmn2_1
formation energy from raw total energies	-14.61	eV/f.u.

***

[17]
A relaxed YRu2Cl crystal, computed with PBE-GGA.

Cell lengths 3.331, 3.322, 7.907 Å; angles 90.00, 101.74, 90.00 degrees
Positions (direct):
Y  0.000  0.000  0.000
Ru  0.179  0.000  0.372
Ru  0.624  0.500  0.258
Cl  0.397  0.500  0.787

relative energy among the computed polymorphs	87.4	meV per atom
space-group type	Pm
formation energy from raw total energies	-0.96	eV/f.u.

***

[18]
A relaxed TbSm2Sn2 crystal, computed with PBE-GGA.

Cell lengths 5.280, 5.280, 17.692 Å; angles 90.00, 90.00, 120.00 degrees
Positions (direct):
Tb  0.000  0.000  0.000
Tb  0.333  0.667  0.667
Tb  0.667  0.333  0.333
Sm  0.000  0.000  0.209
Sm  0.000  0.000  0.791
Sm  0.333  0.667  0.458
Sm  0.333  0.667  0.876
Sm  0.667  0.333  0.124
Sm  0.667  0.333  0.542
Sn  0.000  0.000  0.407
Sn  0.000  0.000  0.593
Sn  0.333  0.667  0.074
Sn  0.333  0.667  0.259
Sn  0.667  0.333  0.741
Sn  0.667  0.333  0.926

relative energy among the computed polymorphs	136.4	meV per atom
energy of formation	-2.82	eV per formula unit
space-group type	R-3m

***

[19]
A relaxed Sr4MoPt crystal, computed with PBE-GGA.

Cell lengths 6.629, 6.629, 6.629 Å; angles 60.00, 60.00, 60.00 degrees
Positions (direct):
Sr  0.376  0.376  0.376
Sr  0.376  0.376  0.873
Sr  0.376  0.873  0.376
Sr  0.873  0.376  0.376
Mo  0.000  0.000  0.000
Pt  0.750  0.750  0.750

energy of formation	6.98	eV per formula unit
space-group type	F-43m

***

[20]
A relaxed LaAlMo2 crystal, computed with PBE-GGA.

Cell lengths 3.275, 4.937, 9.627 Å; angles 90.00, 90.00, 90.00 degrees
Positions (direct):
La  0.000  0.000  0.000
La  0.500  0.500  0.000
Al  0.000  0.500  0.706
Al  0.500  0.000  0.706
Mo  0.000  0.000  0.483
Mo  0.000  0.500  0.278
Mo  0.500  0.000  0.278
Mo  0.500  0.500  0.483

energy of formation	0.96	eV per formula unit
space-group type	Cmm2

***

Number 1: N(E_F) 0.69 states/eV per atom. Number 2: N(E_F) 1.03 states/eV per atom. Number 3: N(E_F) 1.01 states/eV per atom. Number 4: N(E_F) 0.85 states/eV per atom. Number 5: N(E_F) 0.60 states/eV per atom. Number 6: N(E_F) 1.19 states/eV per atom. Number 7: N(E_F) 2.55 states/eV per atom. Number 8: N(E_F) 0.36 states/eV per atom. Number 9: N(E_F) 0.90 states/eV per atom. Number 10: N(E_F) 0.66 states/eV per atom. Number 11: N(E_F) 0.33 states/eV per atom. Number 12: N(E_F) 1.64 states/eV per atom. Number 13: N(E_F) 0.79 states/eV per atom. Number 14: N(E_F) 1.71 states/eV per atom. Number 15: N(E_F) 2.39 states/eV per atom. Number 16: N(E_F) 0.41 states/eV per atom. Number 17: N(E_F) 0.92 states/eV per atom. Number 18: N(E_F) 0.69 states/eV per atom. Number 19: N(E_F) 1.29 states/eV per atom. Number 20: N(E_F) 0.77 states/eV per atom.